No. 1
Si5Ni3Au: relaxed, PBE.

## Properties
Symmetry = P6/mmm (191)
E = -5.32 eV per atom
Size of the total moment = 0.0 μB/cell

a = 4.832 Å, b = 4.832 Å, c = 6.185 Å
α = 90.00°, β = 90.00°, γ = 120.00°
Atoms (fractional coordinates):
Au  0.000  0.000  0.000
Ni  0.500  0.000  0.500
Ni  0.000  0.500  0.500
Ni  0.500  0.500  0.500
Si  0.667  0.333  0.191
Si  0.333  0.667  0.191
Si  0.000  0.000  0.500
Si  0.667  0.333  0.809
Si  0.333  0.667  0.809

=====

No. 2
Si2Ni2Sn2Au: relaxed, PBE.

## Properties
Polymorph energy (0 for the lowest one) = 0.00 kcal/mol of atoms
Symmetry = R-3m (166)
Size of the total moment = 0.0 μB/cell

a = 8.994 Å, b = 8.994 Å, c = 8.994 Å
α = 25.65°, β = 25.65°, γ = 25.65°
Atoms (fractional coordinates):
Au  0.500  0.500  0.500
Ni  0.391  0.391  0.391
Ni  0.609  0.609  0.609
Si  0.304  0.304  0.304
Si  0.696  0.696  0.696
Sn  0.104  0.104  0.104
Sn  0.896  0.896  0.896

=====

No. 3
Si2Ni2Sn2Au: relaxed, PBE.

## Properties
Polymorph energy (0 for the lowest one) = 4.83 kcal/mol of atoms
Symmetry = R-3m (166)
Size of the total moment = 0.0 μB/cell

a = 9.185 Å, b = 9.185 Å, c = 9.185 Å
α = 25.21°, β = 25.21°, γ = 25.21°
Atoms (fractional coordinates):
Au  0.500  0.500  0.500
Ni  0.406  0.406  0.406
Ni  0.594  0.594  0.594
Si  0.110  0.110  0.110
Si  0.890  0.890  0.890
Sn  0.297  0.297  0.297
Sn  0.703  0.703  0.703

=====

No. 4
Sr2Si2Ni3Au: relaxed, PBE.

## Properties
Symmetry = P3m1 (156)
E = -4.74 eV per atom
Size of the total moment = 0.0 μB/cell

a = 4.118 Å, b = 4.118 Å, c = 10.674 Å
α = 90.00°, β = 90.00°, γ = 120.00°
Atoms (fractional coordinates):
Au  0.000  0.000  0.059
Ni  0.000  0.000  0.469
Ni  0.333  0.667  0.534
Ni  0.333  0.667  0.957
Si  0.667  0.333  0.501
Si  0.667  0.333  0.972
Sr  0.333  0.667  0.262
Sr  0.000  0.000  0.746

=====

No. 5
TbSi2NiAu: relaxed, PBE.

## Properties
Symmetry = I-4m2 (119)
E = -5.55 eV per atom
Size of the total moment = 0.0 μB/cell

a = 5.808 Å, b = 5.808 Å, c = 5.808 Å
α = 138.78°, β = 138.78°, γ = 59.71°
Atoms (fractional coordinates):
Au  0.000  0.000  0.000
Ni  0.500  0.500  0.000
Si  0.134  0.634  0.500
Si  0.366  0.866  0.500
Tb  0.750  0.250  0.500

=====

No. 6
YSi2NiAu: relaxed, PBE.

## Properties
Symmetry = I-4m2 (119)
E = -5.91 eV per atom
Size of the total moment = 0.0 μB/cell

a = 5.828 Å, b = 5.828 Å, c = 5.828 Å
α = 138.92°, β = 138.92°, γ = 59.49°
Atoms (fractional coordinates):
Au  0.000  0.000  0.000
Ni  0.500  0.500  0.000
Si  0.135  0.635  0.500
Si  0.365  0.865  0.500
Y  0.750  0.250  0.500